A geometry-optimized Mg3MnO4 structure. Source: Alexandria, functional GGA-PBEsol.

a b c (Å): 4.266 4.266 5.246
angles (deg): 113.99 113.99 90.00
Site moments in Bohr magnetons follow the coordinates.
Fractional positions:
O 0.500 0.000 0.000  0.09
O 0.000 0.500 0.000  0.09
O 0.258 0.258 0.517  0.05
O 0.742 0.742 0.483  0.05
Mg 0.500 0.500 0.000  0.01
Mg 0.750 0.250 0.500  0.00
Mg 0.250 0.750 0.500  0.00
Mn 0.000 0.000 0.000  4.38

Results
The calculation puts the formation energy from raw total energies at -2325 meV/atom. For the density of states at the Fermi level, the calculation gives 0.46 states/eV per cell. The calculation puts the energy at -6.814 eV per atom. The value obtained for the total magnetic moment is 4.96 μB per cell. As for the space group: I4/mmm.